Density functional theory data (GGA-PBE) for a geometry-optimized Zr2MoOs structure.

```
data_Zr2MoOs
_space_group_name_H-M_alt 'P 1 m 1'
_space_group_IT_number 6
_space_group_name_Hall 'P -2y'
_cell_length_a 2.9952
_cell_length_b 4.5946
_cell_length_c 5.3851
_cell_angle_alpha 90.00
_cell_angle_beta 101.98
_cell_angle_gamma 90.00
loop_
_atom_site_label
_atom_site_type_symbol
_atom_site_fract_x
_atom_site_fract_y
_atom_site_fract_z
Zr1 Zr 0.0000 0.0000 0.0000
Zr2 Zr 0.2765 0.5000 0.7318
Mo1 Mo 0.7587 0.5000 0.2499
Os1 Os 0.5218 0.0000 0.4887
```

Values from the calculation:
total magnetic moment	0.00	μB per formula unit
ΔH_f (0 K)	-0.059	eV/atom
volume	18.12	A^3/atom

***

Density functional theory data (GGA-PBE) for a geometry-optimized Dy3HoAu3 structure.

```
data_Dy3HoAu3
_space_group_name_H-M_alt 'C 1 2/m 1'
_space_group_IT_number 12
_space_group_name_Hall '-C 2y'
_cell_length_a 10.3687
_cell_length_b 9.9600
_cell_length_c 7.0815
_cell_angle_alpha 90.00
_cell_angle_beta 97.84
_cell_angle_gamma 90.00
loop_
_atom_site_label
_atom_site_type_symbol
_atom_site_fract_x
_atom_site_fract_y
_atom_site_fract_z
Dy1 Dy 0.0000 0.1962 0.0000
Dy2 Dy 0.0000 0.2759 0.5000
Dy3 Dy 0.1916 0.5000 0.9930
Ho1 Ho 0.2373 0.0000 0.4762
Au1 Au 0.0429 0.0000 0.7126
Au2 Au 0.2458 0.2451 0.7608
```

Values from the calculation:
total magnetic moment	0.00	μB per formula unit
ΔH_f (0 K)	-0.657	eV/atom
volume	25.87	A^3/atom

***

Density functional theory data (GGA-PBE) for a geometry-optimized CdAgSn structure.

```
data_CdAgSn
_space_group_name_H-M_alt 'C 1 c 1'
_space_group_IT_number 9
_space_group_name_Hall 'C -2yc'
_cell_length_a 8.6922
_cell_length_b 7.0573
_cell_length_c 5.6396
_cell_angle_alpha 90.00
_cell_angle_beta 128.11
_cell_angle_gamma 90.00
loop_
_atom_site_label
_atom_site_type_symbol
_atom_site_fract_x
_atom_site_fract_y
_atom_site_fract_z
Cd1 Cd 0.0000 0.1644 0.0000
Ag1 Ag 0.3379 0.0026 0.0837
Sn1 Sn 0.1980 0.3484 0.6892
```

Values from the calculation:
total magnetic moment	0.00	μB per formula unit
ΔH_f (0 K)	0.002	eV/atom
volume	22.68	A^3/atom

***

Density functional theory data (GGA-PBE) for a geometry-optimized CsSb2TeAu structure.

```
data_CsSb2TeAu
_space_group_name_H-M_alt 'P 4/m m m'
_space_group_IT_number 123
_space_group_name_Hall '-P 4 2'
_cell_length_a 6.3279
_cell_length_b 6.3279
_cell_length_c 6.3446
_cell_angle_alpha 90.00
_cell_angle_beta 90.00
_cell_angle_gamma 90.00
loop_
_atom_site_label
_atom_site_type_symbol
_atom_site_fract_x
_atom_site_fract_y
_atom_site_fract_z
Cs1 Cs 0.0000 0.0000 0.0000
Sb1 Sb 0.0000 0.5000 0.0000
Te1 Te 0.0000 0.0000 0.5000
Au1 Au 0.5000 0.5000 0.5000
```

Values from the calculation:
ΔE_f (raw)	8.10	eV per formula unit
total magnetic moment	0.69	μB per formula unit
volume	50.81	A^3/atom

***

Density functional theory data (GGA-PBE) for a geometry-optimized Cs3Cd4Au2 structure.

```
data_Cs3Cd4Au2
_space_group_name_H-M_alt 'C 1 2/m 1'
_space_group_IT_number 12
_space_group_name_Hall '-C 2y'
_cell_length_a 13.9955
_cell_length_b 4.9870
_cell_length_c 10.3089
_cell_angle_alpha 90.00
_cell_angle_beta 97.01
_cell_angle_gamma 90.00
loop_
_atom_site_label
_atom_site_type_symbol
_atom_site_fract_x
_atom_site_fract_y
_atom_site_fract_z
Cs1 Cs 0.0000 0.0000 0.0000
Cs2 Cs 0.1696 0.5000 0.6570
Cd1 Cd 0.0541 0.0000 0.3792
Cd2 Cd 0.2197 0.5000 0.0661
Au1 Au 0.1081 0.5000 0.2772
```

Values from the calculation:
total magnetic moment	0.00	μB per formula unit
ΔH_f (0 K)	-0.164	eV/atom
volume	39.67	A^3/atom

***

Density functional theory data (GGA-PBE) for a geometry-optimized CsSiAgAu2 structure.

```
data_CsSiAgAu2
_space_group_name_H-M_alt 'P 4/m m m'
_space_group_IT_number 123
_space_group_name_Hall '-P 4 2'
_cell_length_a 5.0360
_cell_length_b 5.0360
_cell_length_c 5.1458
_cell_angle_alpha 90.00
_cell_angle_beta 90.00
_cell_angle_gamma 90.00
loop_
_atom_site_label
_atom_site_type_symbol
_atom_site_fract_x
_atom_site_fract_y
_atom_site_fract_z
Cs1 Cs 0.0000 0.0000 0.0000
Si1 Si 0.5000 0.5000 0.5000
Ag1 Ag 0.5000 0.5000 0.0000
Au1 Au 0.0000 0.5000 0.5000
```

Values from the calculation:
ΔE_f (raw)	-0.37	eV per formula unit
total magnetic moment	0.00	μB per formula unit
volume	26.10	A^3/atom

***

Density functional theory data (GGA-PBE) for a geometry-optimized BaPd structure.

```
data_BaPd
_space_group_name_H-M_alt 'I -4 3 m'
_space_group_IT_number 217
_space_group_name_Hall 'I -4 2 3'
_cell_length_a 9.3176
_cell_length_b 9.3176
_cell_length_c 9.3176
_cell_angle_alpha 90.00
_cell_angle_beta 90.00
_cell_angle_gamma 90.00
loop_
_atom_site_label
_atom_site_type_symbol
_atom_site_fract_x
_atom_site_fract_y
_atom_site_fract_z
Ba1 Ba 0.2047 0.2047 0.7953
Pd1 Pd 0.1064 0.1064 0.1064
```

Values from the calculation:
total magnetic moment	0.00	μB per formula unit
ΔH_f (0 K)	-0.155	eV/atom
volume	50.56	A^3/atom

***

Density functional theory data (GGA-PBE) for a geometry-optimized Re2OsAu structure.

```
data_Re2OsAu
_space_group_name_H-M_alt 'P m m 2'
_space_group_IT_number 25
_space_group_name_Hall 'P 2 -2'
_cell_length_a 2.7783
_cell_length_b 3.9567
_cell_length_c 5.6446
_cell_angle_alpha 90.00
_cell_angle_beta 90.00
_cell_angle_gamma 90.00
loop_
_atom_site_label
_atom_site_type_symbol
_atom_site_fract_x
_atom_site_fract_y
_atom_site_fract_z
Re1 Re 0.0000 0.0000 0.0000
Re2 Re 0.5000 0.5000 0.2305
Os1 Os 0.5000 0.5000 0.7814
Au1 Au 0.0000 0.0000 0.5036
```

Values from the calculation:
total magnetic moment	0.00	μB per formula unit
ΔH_f (0 K)	0.337	eV/atom
volume	15.51	A^3/atom

***

Density functional theory data (GGA-PBE) for a geometry-optimized CrP2W structure.

```
data_CrP2W
_space_group_name_H-M_alt 'P m c 21'
_space_group_IT_number 26
_space_group_name_Hall 'P 2c -2'
_cell_length_a 3.1681
_cell_length_b 6.1399
_cell_length_c 5.5257
_cell_angle_alpha 90.00
_cell_angle_beta 90.00
_cell_angle_gamma 90.00
loop_
_atom_site_label
_atom_site_type_symbol
_atom_site_fract_x
_atom_site_fract_y
_atom_site_fract_z
Cr1 Cr 0.0000 0.0643 0.0000
P1 P 0.0000 0.2955 0.3323
P2 P 0.5000 0.1674 0.6967
W1 W 0.5000 0.4445 0.0178
```

Values from the calculation:
total magnetic moment	0.00	μB per formula unit
ΔH_f (0 K)	-0.449	eV/atom
volume	13.44	A^3/atom

***

Density functional theory data (GGA-PBE) for a geometry-optimized Sm3Dy2Hg4 structure.

```
data_Sm3Dy2Hg4
_space_group_name_H-M_alt 'C m c e'
_space_group_IT_number 64
_space_group_name_Hall '-C 2ac 2'
_cell_length_a 6.9141
_cell_length_b 18.7688
_cell_length_c 8.0350
_cell_angle_alpha 90.00
_cell_angle_beta 90.00
_cell_angle_gamma 90.00
loop_
_atom_site_label
_atom_site_type_symbol
_atom_site_fract_x
_atom_site_fract_y
_atom_site_fract_z
Sm1 Sm 0.0000 0.0000 0.0000
Sm2 Sm 0.2500 0.2393 0.2500
Dy1 Dy 0.0000 0.0938 0.5858
Hg1 Hg 0.0000 0.1610 0.9623
Hg2 Hg 0.2500 0.0713 0.2500
```

Values from the calculation:
total magnetic moment	0.00	μB per formula unit
ΔH_f (0 K)	-0.291	eV/atom
volume	28.96	A^3/atom

***

Density functional theory data (GGA-PBE) for a geometry-optimized TeRuSe2 structure.

```
data_TeRuSe2
_space_group_name_H-M_alt 'P 1 2/m 1'
_space_group_IT_number 10
_space_group_name_Hall '-P 2y'
_cell_length_a 4.2166
_cell_length_b 3.6820
_cell_length_c 5.5403
_cell_angle_alpha 90.00
_cell_angle_beta 90.18
_cell_angle_gamma 90.00
loop_
_atom_site_label
_atom_site_type_symbol
_atom_site_fract_x
_atom_site_fract_y
_atom_site_fract_z
Te1 Te 0.0000 0.0000 0.0000
Ru1 Ru 0.5000 0.5000 0.5000
Se1 Se 0.0000 0.0000 0.5000
Se2 Se 0.5000 0.5000 0.0000
```

Values from the calculation:
ΔE_f (raw)	1.87	eV per formula unit
total magnetic moment	1.13	μB per formula unit
volume	21.50	A^3/atom

***

Density functional theory data (GGA-PBE) for a geometry-optimized LiBe3Pd structure.

```
data_LiBe3Pd
_space_group_name_H-M_alt 'P m -3 m'
_space_group_IT_number 221
_space_group_name_Hall '-P 4 2 3'
_cell_length_a 4.2684
_cell_length_b 4.2684
_cell_length_c 4.2684
_cell_angle_alpha 90.00
_cell_angle_beta 90.00
_cell_angle_gamma 90.00
loop_
_atom_site_label
_atom_site_type_symbol
_atom_site_fract_x
_atom_site_fract_y
_atom_site_fract_z
Li1 Li 0.0000 0.0000 0.0000
Be1 Be 0.0000 0.5000 0.5000
Pd1 Pd 0.5000 0.5000 0.5000
```

Values from the calculation:
total magnetic moment	0.00	μB per formula unit
ΔH_f (0 K)	0.263	eV/atom
volume	15.55	A^3/atom